Entry 1:
VASP calculation (GGA-PBE) on crystalline NdSm2Ir9 at its relaxed geometry.

Results
- energy (eV/atom) = -8.37
- formation energy from the elements (eV per atom) = -0.539

Lattice parameters (Å, degrees): 5.3656 5.3656 9.3494 73.32 73.32 60.00
With the nearest neighbours (Å) after each atom.
Atoms (fractional coordinates):
Sm: 0.8605 0.8605 0.4186  12 Ir 3.09-3.36, 3 Sm 3.41
Sm: 0.1395 0.1395 0.5814  12 Ir 3.09-3.36, 3 Sm 3.41
Ir: 0.0837 0.5802 0.7558  7 Ir 2.64-2.73
Ir: 0.5000 0.5000 0.5000  6 Ir 2.73
Ir: 0.9163 0.4198 0.2442  7 Ir 2.64-2.73
Ir: 0.5802 0.0837 0.7558  7 Ir 2.64-2.73
Ir: 0.5802 0.5802 0.7558  7 Ir 2.64-2.73
Ir: 0.4198 0.4198 0.2442  7 Ir 2.64-2.73
Ir: 0.4198 0.9163 0.2442  7 Ir 2.64-2.73
Ir: 0.3324 0.3324 0.0029  6 Ir 2.64-2.67
Ir: 0.6676 0.6676 0.9971  6 Ir 2.64-2.67
Nd: 0.0000 0.0000 0.0000  18 Ir 3.10-3.44

=====

Entry 2:
VASP calculation (GGA-PBE) on crystalline NdSmIr4 at its relaxed geometry.

Results
- energy (eV/atom) = -8.21
- formation energy from the elements (eV per atom) = -0.718

Lattice parameters (Å, degrees): 5.4262 5.4262 5.4262 60.00 60.00 60.00
With the nearest neighbours (Å) after each atom.
Atoms (fractional coordinates):
Ir: 0.6249 0.6249 0.1252  6 Ir 2.71
Ir: 0.1252 0.6249 0.6249  6 Ir 2.71
Ir: 0.6249 0.1252 0.6249  6 Ir 2.71
Ir: 0.6249 0.6249 0.6249  6 Ir 2.71
Nd: 0.0000 0.0000 0.0000  12 Ir 3.18, 4 Sm 3.32
Sm: 0.2500 0.2500 0.2500  12 Ir 3.18, 4 Nd 3.32